This record from the Alexandria database describes crystalline Pm4Er3TmS8 at its relaxed geometry. The functional is PBE-GGA.

Summary:
Total magnetization: 0.000 μB per atom
Calculated total energy: -0.469 Ry/atom
Crystal system: trigonal
V: 348 Å³/cell
Density of states at the Fermi level: 7.0 states/eV/f.u.

a = 7.9725 Å, b = 7.9725 Å, c = 7.9725 Å
α = 58.75°, β = 58.75°, γ = 58.75°
Element x y z (fractional)
1 Pm 0.0000 0.0000 0.0000
2 Pm 0.0000 0.5000 0.5000
3 Pm 0.5000 0.0000 0.5000
4 Pm 0.5000 0.5000 0.0000
5 Er 0.0000 0.0000 0.5000
6 Er 0.0000 0.5000 0.0000
7 Er 0.5000 0.0000 0.0000
8 Tm 0.5000 0.5000 0.5000
9 S 0.2442 0.2442 0.2442
10 S 0.2450 0.7434 0.7434
11 S 0.2566 0.2566 0.7550
12 S 0.2566 0.7550 0.2566
13 S 0.7434 0.2450 0.7434
14 S 0.7434 0.7434 0.2450
15 S 0.7550 0.2566 0.2566
16 S 0.7558 0.7558 0.7558